No. 1
LaPmHoTh, optimized geometry, DFT PBE-GGA; energy relative to the lowest polymorph listed for this composition = 122 meV per atom
1.0
-3.718 2.364 3.707
1.236 0.139 5.622
1.265 5.007 2.547
La Ho Th Pm
1 1 1 1
Direct
0.250 0.250 0.250 La
0.500 0.500 0.500 Ho
0.750 0.750 0.750 Th
0.000 0.000 0.000 Pm

---

No. 2
LaPmHoTh, optimized geometry, DFT PBE-GGA; energy relative to the lowest polymorph listed for this composition = 0 meV per atom
1.0
3.617 0.000 0.000
0.000 3.617 0.000
0.000 0.000 10.302
La Pm Ho Th
1 1 1 1
Direct
0.000 0.000 0.076 La
0.500 0.500 0.807 Pm
0.500 0.500 0.335 Ho
0.000 0.000 0.567 Th

---

No. 3
The following is a PBE-GGA calculation of crystalline LaPm4Ho2Th at its relaxed geometry, from Alexandria.

Cell and atoms, written as POSCAR:
```
LaPm4Ho2Th
1.0
-0.077 5.111 -0.157
-2.262 0.106 4.576
6.985 0.385 9.152
La Pm Ho Th
1 4 2 1
Direct
0.500 0.500 0.000 La
0.000 0.756 0.744 Pm
0.000 0.244 0.256 Pm
0.500 0.743 0.257 Pm
0.500 0.257 0.743 Pm
0.000 0.000 0.000 Ho
0.500 0.000 0.500 Ho
0.000 0.500 0.500 Th
```

---

| no. | ΔH_f (0 K) (kJ/mol of formula units) |
| --- | --- |
| 1 | 57.0 |
| 2 | 9.8 |
| 3 | 31.8 |